The following is a PBE calculation of a relaxed YSi2Sb2Pt7 crystal, from Alexandria via LeMat-Bulk.

ΔE_f (raw) = -0.680 eV per atom
SG = C2/m

Cell: 3.958 3.958 15.346 Å, 97.38 97.38 89.99°
Atoms (fractional coordinates):
Y  0.000  0.000  0.000
Si  0.382  0.382  0.761
Si  0.618  0.618  0.239
Sb  0.211  0.211  0.422
Sb  0.789  0.789  0.578
Pt  0.073  0.573  0.149
Pt  0.302  0.302  0.605
Pt  0.427  0.927  0.851
Pt  0.500  0.500  0.000
Pt  0.573  0.073  0.149
Pt  0.698  0.698  0.395
Pt  0.927  0.427  0.851